Here is a relaxed Rh2SeO crystal from Alexandria. Energies are from PBE.

a b c (Å): 4.6404 4.6404 6.9148
angles (deg): 70.39 70.39 90.00
With the nearest neighbours (Å) after each atom.
Fractional positions:
Rh  0.5292  0.1250  0.2500  2 O 2.04
Rh  0.2208  0.6250  0.2500  2 O 2.04
Rh  0.3750  0.4708  0.7500  2 O 2.04
Rh  0.8750  0.7792  0.7500  2 O 2.04
O  0.5000  0.5000  0.0000  4 Rh 2.04
O  0.2500  0.7500  0.5000  4 Rh 2.04
Se  0.0000  0.0000  0.0000  4 Rh 2.50
Se  0.7500  0.2500  0.5000  4 Rh 2.50

Total energy, eV per atom: -5.931
Distance to the lowest polymorph of the same formula, eV per formula unit: 0.000
Magnetization, μB/f.u.: 0.000
ρ, g/cm³: 7.62
Formation energy (no corrections), meV/atom: -144.2